(1)
# La2Sm3Y2 | Alexandria via LeMat-Bulk | PBE | optimized geometry
# D(E_F) = 1.41 states/eV per atom
# Distance to the lowest polymorph of the same formula = 0.000 eV/atom
# Total moment = 0.00 μB/f.u.
# E = -36.84 eV/cell
# Energy relative to the elements = 0.014 eV per atom
data_La2Sm3Y2
_chemical_formula_sum 'La2 Sm3 Y2'
_space_group_name_H-M_alt 'P -1'
_space_group_IT_number 2
_cell_length_a 3.660
_cell_length_b 6.267
_cell_length_c 10.955
_cell_angle_alpha 95.32
_cell_angle_beta 90.05
_cell_angle_gamma 106.91
loop_
_space_group_symop_operation_xyz
'x,y,z'
'-x,-y,-z'
loop_
_atom_site_label
_atom_site_type_symbol
_atom_site_fract_x
_atom_site_fract_y
_atom_site_fract_z
La1 La 0.215 0.430 0.356
Sm1 Sm 0.357 0.715 0.930
Sm2 Sm 0.500 0.000 0.500
Y1 Y 0.071 0.140 0.789


(2)
# La3Sm8Y3 | Alexandria via LeMat-Bulk | PBE | optimized geometry
# D(E_F) = 1.56 states/eV per atom
# Total moment = 0.00 μB/f.u.
# E = -141.18 eV/cell
# Energy relative to the elements = 0.096 eV per atom
data_La3Sm8Y3
_chemical_formula_sum 'La6 Sm16 Y6'
_space_group_name_H-M_alt 'I m m m'
_space_group_IT_number 71
_space_group_name_Hall '-I 2 2'
_cell_length_a 5.794
_cell_length_b 10.953
_cell_length_c 15.370
_cell_angle_alpha 90.00
_cell_angle_beta 90.00
_cell_angle_gamma 90.00
loop_
_atom_site_label
_atom_site_type_symbol
_atom_site_fract_x
_atom_site_fract_y
_atom_site_fract_z
La1 La 0.000 0.000 0.000
La2 La 0.000 0.500 0.316
Sm1 Sm 0.000 0.161 0.280
Sm2 Sm 0.000 0.339 0.102
Y1 Y 0.000 0.000 0.500
Y2 Y 0.000 0.300 0.500


(3)
# LaSm3Y7 | Alexandria via LeMat-Bulk | PBE | optimized geometry
# D(E_F) = 1.69 states/eV per atom
# Distance to the lowest polymorph of the same formula = 0.054 eV/atom
# Total moment = 0.00 μB/f.u.
# E = -62.21 eV/cell
# Energy relative to the elements = 0.193 eV per atom
data_LaSm3Y7
_chemical_formula_sum 'La1 Sm3 Y7'
_space_group_name_H-M_alt 'P 3 m 1'
_space_group_IT_number 156
_cell_length_a 7.1381
_cell_length_b 7.1381
_cell_length_c 8.7352
_cell_angle_alpha 90.00
_cell_angle_beta 90.00
_cell_angle_gamma 120.00
loop_
_space_group_symop_operation_xyz
'x,y,z'
'-y,x-y,z'
'-x+y,-x,z'
'-y,-x,z'
'-x+y,y,z'
'x,x-y,z'
loop_
_atom_site_label
_atom_site_type_symbol
_atom_site_fract_x
_atom_site_fract_y
_atom_site_fract_z
La1 La 0.0000 0.0000 0.0000
Sm1 Sm 0.1671 0.3341 0.3367
Y1 Y 0.0017 0.5009 0.9996
Y2 Y 0.3324 0.1662 0.6689
Y3 Y 0.3333 0.6667 0.6708


(4)
# LaSm3Y3 | Alexandria via LeMat-Bulk | PBE | optimized geometry
# D(E_F) = 1.76 states/eV per atom
# Distance to the lowest polymorph of the same formula = 0.000 eV/atom
# Total moment = 0.00 μB/f.u.
# E = -221.53 eV/cell
# Energy relative to the elements = 0.222 eV per atom
data_LaSm3Y3
_chemical_formula_sum 'La6 Sm18 Y18'
_space_group_name_H-M_alt 'R -3'
_space_group_IT_number 148
_space_group_name_Hall '-R 3'
_cell_length_a 8.8298
_cell_length_b 8.8298
_cell_length_c 21.7613
_cell_angle_alpha 90.00
_cell_angle_beta 90.00
_cell_angle_gamma 120.00
loop_
_atom_site_label
_atom_site_type_symbol
_atom_site_fract_x
_atom_site_fract_y
_atom_site_fract_z
La1 La 0.0000 0.0000 0.1427
Sm1 Sm 0.0047 0.2365 0.5583
Y1 Y 0.0541 0.2707 0.7128


(5)
# La4SmY | Alexandria via LeMat-Bulk | PBE | optimized geometry
# D(E_F) = 1.87 states/eV per atom
# Total moment = 0.00 μB/f.u.
# E = -59.90 eV/cell
# Energy relative to the elements = 0.157 eV per atom
data_La4SmY
_chemical_formula_sum 'La8 Sm2 Y2'
_space_group_name_H-M_alt 'C 1 2/m 1'
_space_group_IT_number 12
_cell_length_a 10.945
_cell_length_b 5.913
_cell_length_c 7.066
_cell_angle_alpha 90.00
_cell_angle_beta 108.92
_cell_angle_gamma 90.00
loop_
_space_group_symop_operation_xyz
'x,y,z'
'-x,-y,-z'
'-x,y,-z'
'x,-y,z'
'x+1/2,y+1/2,z'
'-x+1/2,-y+1/2,-z'
'-x+1/2,y+1/2,-z'
'x+1/2,-y+1/2,z'
loop_
_atom_site_label
_atom_site_type_symbol
_atom_site_fract_x
_atom_site_fract_y
_atom_site_fract_z
La1 La 0.182 0.000 0.090
La2 La 0.184 0.000 0.593
Sm1 Sm 0.000 0.500 0.000
Y1 Y 0.000 0.500 0.500


(6)
# La3Sm3Y8 | Alexandria via LeMat-Bulk | PBE | optimized geometry
# D(E_F) = 1.69 states/eV per atom
# Total moment = 0.00 μB/f.u.
# E = -158.40 eV/cell
# Energy relative to the elements = 0.104 eV per atom
data_La3Sm3Y8
_chemical_formula_sum 'La6 Sm6 Y16'
_space_group_name_H-M_alt 'I m m m'
_space_group_IT_number 71
_space_group_name_Hall '-I 2 2'
_cell_length_a 5.761
_cell_length_b 10.843
_cell_length_c 15.442
_cell_angle_alpha 90.00
_cell_angle_beta 90.00
_cell_angle_gamma 90.00
loop_
_atom_site_label
_atom_site_type_symbol
_atom_site_fract_x
_atom_site_fract_y
_atom_site_fract_z
La1 La 0.000 0.000 0.000
La2 La 0.000 0.500 0.314
Sm1 Sm 0.000 0.000 0.500
Sm2 Sm 0.000 0.301 0.500
Y1 Y 0.000 0.161 0.281
Y2 Y 0.000 0.340 0.102


(7)
# La2SmY5 | Alexandria via LeMat-Bulk | PBE | optimized geometry
# D(E_F) = 1.69 states/eV per atom
# Total moment = 0.00 μB/f.u.
# E = -183.31 eV/cell
# Energy relative to the elements = 0.133 eV per atom
data_La2SmY5
_chemical_formula_sum 'La8 Sm4 Y20'
_space_group_name_H-M_alt 'P b c n'
_space_group_IT_number 60
_cell_length_a 6.371
_cell_length_b 26.902
_cell_length_c 6.362
_cell_angle_alpha 90.00
_cell_angle_beta 90.00
_cell_angle_gamma 90.00
loop_
_space_group_symop_operation_xyz
'x,y,z'
'-x,-y,-z'
'-x+1/2,-y+1/2,z+1/2'
'x+1/2,y+1/2,-z+1/2'
'x+1/2,-y+1/2,-z'
'-x+1/2,y+1/2,z'
'-x,y,-z+1/2'
'x,-y,z+1/2'
loop_
_atom_site_label
_atom_site_type_symbol
_atom_site_fract_x
_atom_site_fract_y
_atom_site_fract_z
La1 La 0.243 0.215 0.105
Sm1 Sm 0.000 0.031 0.750
Y1 Y 0.000 0.471 0.250
Y2 Y 0.247 0.352 0.121
Y3 Y 0.250 0.088 0.159


(8)
# LaSm4Y15 | Alexandria via LeMat-Bulk | PBE | optimized geometry
# D(E_F) = 1.49 states/eV per atom
# Total moment = 0.00 μB/f.u.
# E = -120.31 eV/cell
# Energy relative to the elements = 0.023 eV per atom
data_LaSm4Y15
_chemical_formula_sum 'La1 Sm4 Y15'
_space_group_name_H-M_alt 'P 4/m m m'
_space_group_IT_number 123
_space_group_name_Hall '-P 4 2'
_cell_length_a 5.086
_cell_length_b 5.086
_cell_length_c 25.353
_cell_angle_alpha 90.00
_cell_angle_beta 90.00
_cell_angle_gamma 90.00
loop_
_atom_site_label
_atom_site_type_symbol
_atom_site_fract_x
_atom_site_fract_y
_atom_site_fract_z
La1 La 0.000 0.000 0.000
Sm1 Sm 0.000 0.000 0.201
Sm2 Sm 0.000 0.000 0.400
Y1 Y 0.000 0.500 0.102
Y2 Y 0.000 0.500 0.301
Y3 Y 0.000 0.500 0.500
Y4 Y 0.500 0.500 0.000
Y5 Y 0.500 0.500 0.201
Y6 Y 0.500 0.500 0.400


- Which value of E does entry 1 give?
  -36.84 eV/cell